[1]
Material: TmCu4Si3
Method: DFT, PBE
State: optimized geometry

Lattice parameters (Å, degrees): 3.997 3.997 7.508 90.00 90.00 90.00
Space group P4/mmm (No. 123)
Inequivalent atoms, fractional coordinates:
Tm 0.000 0.000 0.000 (multiplicity 1)
Cu 0.000 0.500 0.323 (multiplicity 4)
Si 0.000 0.000 0.500 (multiplicity 1)
Si 0.500 0.500 0.154 (multiplicity 2)

Results
Calculated density, g cm⁻³: 7.023
E_form (uncorrected), eV per atom: -0.35
Electronic total energy, eV per atom: -4.986
DOS(E_F), states/eV/atom: 0.42


[2]
Material: Tm2CuSi
Method: DFT, PBE
State: optimized geometry

Lattice parameters (Å, degrees): 4.794 4.794 3.541 90.00 90.00 90.00
Space group P4/mmm (No. 123)
Inequivalent atoms, fractional coordinates:
Tm 0.000 0.500 0.000 (multiplicity 2)
Cu 0.000 0.000 0.500 (multiplicity 1)
Si 0.500 0.500 0.500 (multiplicity 1)

Results
Calculated density, g cm⁻³: 8.764
E_form (uncorrected), eV per atom: -0.43
Electronic total energy, eV per atom: -5.046
DOS(E_F), states/eV/atom: 0.80


[3]
Material: Tm2CuSi3
Method: DFT, PBE
State: optimized geometry

Lattice parameters (Å, degrees): 3.930 4.057 6.830 90.00 90.00 90.00
Space group Pmm2 (No. 25)
Inequivalent atoms, fractional coordinates:
Tm 0.000 0.000 0.000 (multiplicity 1)
Tm 0.000 0.500 0.491 (multiplicity 1)
Cu 0.500 0.500 0.823 (multiplicity 1)
Si 0.500 0.000 0.330 (multiplicity 1)
Si 0.500 0.000 0.671 (multiplicity 1)
Si 0.500 0.500 0.155 (multiplicity 1)

Results
Calculated density, g cm⁻³: 7.406
E_form (uncorrected), eV per atom: -0.67
Electronic total energy, eV per atom: -5.553
DOS(E_F), states/eV/atom: 0.42